## CoGeSbO6 (PBE+U)

Data for CoGeSbO6 after structural relaxation.

- DFT total energy (eV per atom) = -6.07
- spin magnetization (μB/f.u.) = 4.036

Structure (POSCAR):
```
CoGeSbO6
1.0
-5.060 0.399 -0.328
2.239 -0.284 4.558
0.678 8.760 0.213
O Ge Co Sb
12 2 2 2
direct
0.353 0.013 0.130 O
0.660 0.013 0.370 O
0.013 0.353 0.630 O
0.013 0.660 0.870 O
0.987 0.340 0.130 O
0.987 0.647 0.370 O
0.660 0.647 0.130 O
0.340 0.353 0.870 O
0.340 0.987 0.630 O
0.353 0.340 0.370 O
0.647 0.660 0.630 O
0.647 0.987 0.870 O
0.333 0.667 0.750 Ge
0.667 0.333 0.250 Ge
0.000 0.000 0.500 Co
0.000 0.000 0.000 Co
0.333 0.667 0.250 Sb
0.667 0.333 0.750 Sb
```